DFT (PBE+U) results for a relaxed FeSe2BrF crystal.

Calculated values
Polymorph energy (0 for the lowest one) in meV/atom: 271
Fermi-level density of states in states/eV/f.u.: 6.4

Cell: 4.340 4.340 5.835 Å, 90.00 90.00 90.00°
Space group P4/mmm (No. 123)
Asymmetric unit:
Fe 0.000 0.000 0.000 [1 per cell]
Se 0.000 0.500 0.500 [2 per cell]
Br 0.500 0.500 0.000 [1 per cell]
F 0.500 0.500 0.500 [1 per cell]